Record 1
An optimized crystal structure of Al2CdCu. Source: Alexandria, functional PBE.

Cell: 4.0877 4.0877 17.8265 Å, 90.00 90.00 90.00°
Space group I-42d (No. 122)
Unique sites:
Al: 0.2209 0.2500 0.1250 [8 per cell]
Cd: 0.0000 0.0000 0.5000 [4 per cell]
Cu: 0.0000 0.0000 0.0000 [4 per cell]

Results
Formation energy from the elements (eV/atom): 0.188

***

Record 2
An optimized crystal structure of AgTe2. Source: Alexandria, functional PBE.

Cell: 3.9854 3.9854 5.6304 Å, 90.00 90.00 90.00°
Space group P4/mmm (No. 123)
Unique sites:
Ag: 0.0000 0.0000 0.0000 [1 per cell]
Te: 0.0000 0.0000 0.5000 [1 per cell]
Te: 0.5000 0.5000 0.0000 [1 per cell]

Results
Formation energy without anion corrections (meV per atom): 341

***

Record 3
An optimized crystal structure of ThCu3Au10. Source: Alexandria, functional PBE.

Cell: 12.9076 12.9076 12.9076 Å, 90.00 90.00 90.00°
Space group Fm-3m (No. 225)
Unique sites:
Th: 0.2500 0.2500 0.2500 [8 per cell]
Cu: 0.0000 0.0000 0.2292 [24 per cell]
Au: 0.0000 0.1719 0.3281 [48 per cell]
Au: 0.1183 0.1183 0.1183 [32 per cell]

Results
Formation energy from the elements (eV/atom): -0.077

***

Record 4
An optimized crystal structure of LiTcPS2. Source: Alexandria, functional PBE.

Cell: 4.7649 4.7649 4.5551 Å, 90.00 90.00 90.00°
Space group P4/mmm (No. 123)
Unique sites:
Li: 0.0000 0.0000 0.0000 [1 per cell]
Tc: 0.5000 0.5000 0.5000 [1 per cell]
P: 0.5000 0.5000 0.0000 [1 per cell]
S: 0.0000 0.5000 0.5000 [2 per cell]

Results
Formation energy without anion corrections (meV per atom): 82
ΔE to the lowest computed polymorph (kJ per mole of atoms): 0.0

***

Record 5
An optimized crystal structure of BaCoNi. Source: Alexandria, functional PBE.

Cell: 4.0415 4.0415 4.8652 Å, 90.00 90.00 120.00°
Space group P-6m2 (No. 187)
Unique sites:
Ba: 0.0000 0.0000 0.0000 [1 per cell]
Co: 0.6667 0.3333 0.5000 [1 per cell]
Ni: 0.3333 0.6667 0.5000 [1 per cell]

Results
Formation energy from the elements (eV/atom): 0.286
ΔE to the lowest computed polymorph (kJ per mole of atoms): 0.0

***

Record 6
An optimized crystal structure of TcHS2N. Source: Alexandria, functional PBE.

Cell: 3.2697 3.2697 6.6331 Å, 90.00 90.00 90.00°
Space group P4/mmm (No. 123)
Unique sites:
Tc: 0.0000 0.0000 0.0000 [1 per cell]
H: 0.5000 0.5000 0.5000 [1 per cell]
S: 0.0000 0.5000 0.5000 [2 per cell]
N: 0.5000 0.5000 0.0000 [1 per cell]

Results
ΔE to the lowest computed polymorph (kJ per mole of atoms): 47.3

***

Record 7
An optimized crystal structure of AcLaPu2Se4. Source: Alexandria, functional PBE.

Cell: 7.3787 4.2633 7.4576 Å, 90.00 109.49 90.00°
Space group P2/m (No. 10)
Unique sites:
Ac: 0.0000 0.0000 0.0000 [1 per cell]
La: 0.0000 0.5000 0.5000 [1 per cell]
Pu: 0.5000 0.0000 0.5000 [1 per cell]
Pu: 0.5000 0.5000 0.0000 [1 per cell]
Se: 0.2650 0.0000 0.7516 [2 per cell]
Se: 0.2683 0.5000 0.2613 [2 per cell]

Results
Formation energy without anion corrections (meV per atom): -1716

***

Record 8
An optimized crystal structure of CaScTa2. Source: Alexandria, functional PBE.

Cell: 4.1421 4.1421 21.0969 Å, 90.00 90.00 90.00°
Space group I-42d (No. 122)
Unique sites:
Ca: 0.0000 0.0000 0.0000 [4 per cell]
Sc: 0.0000 0.0000 0.5000 [4 per cell]
Ta: 0.2373 0.2500 0.6250 [8 per cell]

Results
Formation energy from the elements (eV/atom): 0.892
ΔE to the lowest computed polymorph (kJ per mole of atoms): 60.7

***

Record 9
An optimized crystal structure of Np2CdGa6. Source: Alexandria, functional PBE.

Cell: 4.9959 4.9959 7.8655 Å, 90.00 90.00 90.00°
Space group P4/mmm (No. 123)
Unique sites:
Np: 0.0000 0.0000 0.2476 [2 per cell]
Cd: 0.5000 0.5000 0.0000 [1 per cell]
Ga: 0.0000 0.5000 0.0000 [2 per cell]
Ga: 0.0000 0.5000 0.5000 [2 per cell]
Ga: 0.5000 0.5000 0.3347 [2 per cell]

Results
Formation energy from the elements (eV/atom): 0.208

***

Record 10
An optimized crystal structure of La2NiAg2. Source: Alexandria, functional PBE.

Cell: 3.7860 3.7860 17.4693 Å, 90.00 90.00 90.00°
Space group I4/mmm (No. 139)
Unique sites:
La: 0.0000 0.0000 0.0921 [4 per cell]
Ni: 0.0000 0.0000 0.5000 [2 per cell]
Ag: 0.0000 0.5000 0.2500 [4 per cell]

Results
Formation energy from the elements (eV/atom): -0.075
ΔE to the lowest computed polymorph (kJ per mole of atoms): 19.3

***

Record 11
An optimized crystal structure of Cd2TeI2. Source: Alexandria, functional PBE.

Cell: 6.1945 6.1945 9.6543 Å, 90.00 90.00 90.00°
Space group I4/mmm (No. 139)
Unique sites:
Cd: 0.0000 0.5000 0.2500 [4 per cell]
Te: 0.0000 0.0000 0.0000 [2 per cell]
I: 0.0000 0.0000 0.3111 [4 per cell]

Results
Formation energy without anion corrections (meV per atom): 105
ΔE to the lowest computed polymorph (kJ per mole of atoms): 46.5

***

Record 12
An optimized crystal structure of Ce2PmDy6. Source: Alexandria, functional PBE.

Cell: 5.6666 9.6312 10.3323 Å, 90.00 90.00 90.00°
Space group Cmmm (No. 65)
Unique sites:
Ce: 0.0000 0.1442 0.0000 [4 per cell]
Pm: 0.0000 0.5000 0.5000 [2 per cell]
Dy: 0.0000 0.1667 0.3307 [8 per cell]
Dy: 0.0000 0.5000 0.1680 [4 per cell]

Results
Formation energy from the elements (eV/atom): 0.089

***

no.,magnetic moment (μB per cell),energy (eV per atom)
1,0.000,-2.936
2,0.000,-2.704
3,0.000,-3.825
4,0.265,-5.107
5,1.678,-4.650
6,3.145,-4.704
7,0.035,-8.171
8,0.000,-7.118
9,8.850,-4.787
10,0.000,-4.343
11,0.000,-1.510
12,2.433,-4.826